Record 1
{
  "formula": "MgTiOs3",
  "functional": "GGA-PBE",
  "state": "optimized geometry",
  "cell": [[4.574, 0.000, 0.000], [0.000, 4.574, 0.000], [0.000, 0.000, 4.574]],
  "species": ["Mg", "Os", "Os", "Os", "Ti"],
  "frac_coords": [[0.500, 0.500, 0.500], [0.000, 0.500, 0.000], [0.000, 0.000, 0.500], [0.500, 0.000, 0.000], [0.000, 0.000, 0.000]],
  "crystal_system": "cubic",
  "relative_energy_ev_per_fu": 0.000,
  "sg": "Pm-3m, No. 221"
}



Record 2
{
  "formula": "Mg2TiOs",
  "functional": "GGA-PBE",
  "state": "optimized geometry",
  "cell": [[-2.963, 2.452, 2.403], [-1.336, 4.062, -1.512], [-4.233, 0.573, -1.524]],
  "species": ["Mg", "Mg", "Os", "Ti"],
  "frac_coords": [[0.250, 0.250, 0.250], [0.750, 0.750, 0.750], [0.500, 0.500, 0.500], [0.000, 0.000, 0.000]],
  "crystal_system": "cubic",
  "relative_energy_ev_per_fu": 0.000,
  "sg": "Fm-3m, No. 225"
}



Record 3
{
  "formula": "Mg3TiOs",
  "functional": "GGA-PBE",
  "state": "optimized geometry",
  "cell": [[-3.724, 0.489, 3.201], [-1.581, -4.532, -1.147], [2.826, -1.891, 3.577]],
  "species": ["Mg", "Mg", "Mg", "Os", "Ti"],
  "frac_coords": [[0.000, 0.500, 0.000], [0.000, 0.000, 0.500], [0.500, 0.000, 0.000], [0.500, 0.500, 0.500], [0.000, 0.000, 0.000]],
  "crystal_system": "cubic",
  "relative_energy_ev_per_fu": 5.133,
  "sg": "Pm-3m, No. 221"
}



Number 1: formation energy 1.47 eV per atom, total energy -35.84 eV per formula unit, D(E_F) 5.64 states/eV/cell. Number 2: formation energy 0.28 eV per atom, total energy -21.19 eV per formula unit, D(E_F) 5.34 states/eV/cell. Number 3: formation energy 1.92 eV per atom, total energy -14.29 eV per formula unit, D(E_F) 6.87 states/eV/cell.